# NaV6O15 GGA+U relaxed
data_NaV6O15
_cell_length_a 7.3374
_cell_length_b 8.1136
_cell_length_c 10.3138
_cell_angle_alpha 70.33
_cell_angle_beta 89.97
_cell_angle_gamma 76.77
_symmetry_space_group_name_H-M 'P -1'
_symmetry_Int_Tables_number 2
loop_
_symmetry_equiv_pos_as_xyz
'x,y,z'
'-x,-y,-z'
loop_
_atom_site_label
_atom_site_fract_x
_atom_site_fract_y
_atom_site_fract_z
_atom_site_occupancy
Na1 0.2479 0.4895 0.3950 1
V1 0.0796 0.1740 0.8986 1
V2 0.1063 0.0735 0.5898 1
V3 0.1894 0.7391 0.8803 1
V4 0.3072 0.2720 0.1096 1
V5 0.3935 0.9291 0.4068 1
V6 0.4147 0.8278 0.1017 1
O1 0.0082 0.3693 0.7745 1
O2 0.0511 0.2924 0.5275 1
O3 0.0644 0.2340 0.0761 1
O4 0.1212 0.0200 0.7740 1
O5 0.1296 0.9860 0.4274 1
O6 0.1623 0.8853 0.0446 1
O7 0.1969 0.7141 0.7310 1
O8 0.2499 0.5010 0.0030 1
O9 0.3082 0.2742 0.2688 1
O10 0.3485 0.1418 0.9486 1
O11 0.3718 0.0150 0.5710 1
O12 0.3839 0.9725 0.2213 1
O13 0.4306 0.7652 0.9250 1
O14 0.4475 0.6310 0.2212 1
O15 0.4493 0.7101 0.4703 1
# - VASP energy (Ry per atom) = -0.5381
# - crystal system = triclinic
# - energy above the lowest structure with this stoichiometry (meV per atom) = 0